# LiTl3InPb (GGA-PBE, optimized geometry)
data_LiTl3InPb
_cell_length_a 8.4518
_cell_length_b 8.4518
_cell_length_c 10.8409
_cell_angle_alpha 90.00
_cell_angle_beta 90.00
_cell_angle_gamma 154.33
_space_group_name_H-M_alt 'P 1'
_space_group_IT_number 1
_space_group_name_Hall 'P 1'
loop_
_atom_site_label
_atom_site_type_symbol
_atom_site_fract_x
_atom_site_fract_y
_atom_site_fract_z
_atom_site_occupancy
Li1 Li 0.0000 0.0000 0.0000 1
Li2 Li 0.0000 0.0000 0.5000 1
Tl1 Tl 0.1876 0.8124 0.7500 1
Tl2 Tl 0.3428 0.6572 0.5049 1
Tl3 Tl 0.3428 0.6572 0.9951 1
Tl4 Tl 0.6572 0.3428 0.0049 1
Tl5 Tl 0.6572 0.3428 0.4951 1
Tl6 Tl 0.8124 0.1876 0.2500 1
In1 In 0.1464 0.8536 0.2500 1
In2 In 0.8536 0.1464 0.7500 1
Pb1 Pb 0.4875 0.5125 0.2500 1
Pb2 Pb 0.5125 0.4875 0.7500 1
# SG: No. 63
# energy: -0.0966 Ha/atom
# ΔE_f: -4.9 kJ/mol of atoms